No. 1
# LiLa3Er3Se8, relaxed, DFT GGA-PBE
data_LiLa3Er3Se8
_chemical_formula_sum 'Li3 La9 Er9 Se24'
_cell_length_a 8.2405
_cell_length_b 8.2405
_cell_length_c 20.5660
_cell_angle_alpha 90.00
_cell_angle_beta 90.00
_cell_angle_gamma 120.00
_symmetry_space_group_name_H-M 'R -3 m'
_symmetry_Int_Tables_number 166
_symmetry_space_group_name_Hall '-R 3 2"'
loop_
_atom_site_label
_atom_site_type_symbol
_atom_site_fract_x
_atom_site_fract_y
_atom_site_fract_z
Li1 Li 0.0000 0.0000 0.0000
La1 La 0.0000 0.5000 0.5000
Er1 Er 0.0000 0.5000 0.0000
Se1 Se 0.0000 0.0000 0.2568
Se2 Se 0.0025 0.5013 0.2559
# * V: 1209.6 Å³/cell
# * ΔE_f (raw): -1.85 eV/atom
# * E_tot: -5.731 eV per atom

***

No. 2
# YMgTi2N, relaxed, DFT GGA-PBE
data_YMgTi2N
_chemical_formula_sum 'Y1 Mg1 Ti2 N1'
_cell_length_a 4.265
_cell_length_b 4.265
_cell_length_c 4.777
_cell_angle_alpha 90.00
_cell_angle_beta 90.00
_cell_angle_gamma 90.00
_symmetry_space_group_name_H-M 'P 4/m m m'
_symmetry_Int_Tables_number 123
_symmetry_space_group_name_Hall '-P 4 2'
loop_
_atom_site_label
_atom_site_type_symbol
_atom_site_fract_x
_atom_site_fract_y
_atom_site_fract_z
Y1 Y 0.000 0.000 0.000
Mg1 Mg 0.500 0.500 0.000
Ti1 Ti 0.000 0.500 0.500
N1 N 0.000 0.000 0.500
# * V: 86.9 Å³/cell
# * ΔE_f (raw): -0.61 eV/atom
# * E_tot: -7.043 eV per atom

***

No. 3
# In2CuSi, relaxed, DFT GGA-PBE
data_In2CuSi
_chemical_formula_sum 'In4 Cu2 Si2'
_cell_length_a 10.207
_cell_length_b 3.157
_cell_length_c 6.118
_cell_angle_alpha 90.00
_cell_angle_beta 124.79
_cell_angle_gamma 90.00
_symmetry_space_group_name_H-M 'C 1 m 1'
_symmetry_Int_Tables_number 8
loop_
_symmetry_equiv_pos_as_xyz
'x,y,z'
'x,-y,z'
'x+1/2,y+1/2,z'
'x+1/2,-y+1/2,z'
loop_
_atom_site_label
_atom_site_type_symbol
_atom_site_fract_x
_atom_site_fract_y
_atom_site_fract_z
In1 In 0.000 0.000 0.000
In2 In 0.134 0.000 0.632
Cu1 Cu 0.274 0.500 0.114
Si1 Si 0.341 0.000 0.465
# * V: 161.9 Å³/cell
# * ΔE_f (raw): 0.22 eV/atom
# * E_tot: -3.528 eV per atom

***

No. 4
# Nb2HgPbO, relaxed, DFT GGA-PBE
data_Nb2HgPbO
_chemical_formula_sum 'Nb2 Hg1 Pb1 O1'
_cell_length_a 4.253
_cell_length_b 4.253
_cell_length_c 5.324
_cell_angle_alpha 90.00
_cell_angle_beta 90.00
_cell_angle_gamma 90.00
_symmetry_space_group_name_H-M 'P 4/m m m'
_symmetry_Int_Tables_number 123
_symmetry_space_group_name_Hall '-P 4 2'
loop_
_atom_site_label
_atom_site_type_symbol
_atom_site_fract_x
_atom_site_fract_y
_atom_site_fract_z
Nb1 Nb 0.000 0.500 0.000
Hg1 Hg 0.000 0.000 0.500
Pb1 Pb 0.500 0.500 0.500
O1 O 0.500 0.500 0.000
# * V: 96.3 Å³/cell
# * distance to the lowest polymorph of the same formula: 0.0 meV/atom
# * ΔE_f (raw): -0.18 eV/atom
# * E_tot: -6.003 eV per atom

***

No. 5
# Hf2TaFeCl, relaxed, DFT GGA-PBE
data_Hf2TaFeCl
_chemical_formula_sum 'Hf2 Ta1 Fe1 Cl1'
_cell_length_a 4.651
_cell_length_b 4.651
_cell_length_c 4.441
_cell_angle_alpha 90.00
_cell_angle_beta 90.00
_cell_angle_gamma 90.00
_symmetry_space_group_name_H-M 'P 4/m m m'
_symmetry_Int_Tables_number 123
_symmetry_space_group_name_Hall '-P 4 2'
loop_
_atom_site_label
_atom_site_type_symbol
_atom_site_fract_x
_atom_site_fract_y
_atom_site_fract_z
Hf1 Hf 0.000 0.500 0.000
Ta1 Ta 0.000 0.000 0.500
Fe1 Fe 0.500 0.500 0.500
Cl1 Cl 0.000 0.000 0.000
# * V: 96.1 Å³/cell
# * ΔE_f (raw): 0.79 eV/atom
# * E_tot: -7.624 eV per atom

***

No. 6
# Hg12Ge3Se5, relaxed, DFT GGA-PBE
data_Hg12Ge3Se5
_chemical_formula_sum 'Hg96 Ge24 Se40'
_cell_length_a 16.528
_cell_length_b 16.528
_cell_length_c 16.528
_cell_angle_alpha 90.00
_cell_angle_beta 90.00
_cell_angle_gamma 90.00
_symmetry_space_group_name_H-M 'I a -3 d'
_symmetry_Int_Tables_number 230
_symmetry_space_group_name_Hall '-I 4bd 2c 3'
loop_
_atom_site_label
_atom_site_type_symbol
_atom_site_fract_x
_atom_site_fract_y
_atom_site_fract_z
Hg1 Hg 0.020 0.084 0.654
Ge1 Ge 0.000 0.250 0.125
Se1 Se 0.000 0.000 0.000
Se2 Se 0.000 0.250 0.375
# * V: 4515.2 Å³/cell
# * ΔE_f (raw): 0.10 eV/atom
# * E_tot: -1.645 eV per atom

***

No. 7
# SmDy2Cu9, relaxed, DFT GGA-PBE
data_SmDy2Cu9
_chemical_formula_sum 'Sm3 Dy6 Cu27'
_cell_length_a 5.1894
_cell_length_b 5.1894
_cell_length_c 24.8960
_cell_angle_alpha 90.00
_cell_angle_beta 90.00
_cell_angle_gamma 120.00
_symmetry_space_group_name_H-M 'R -3 m'
_symmetry_Int_Tables_number 166
_symmetry_space_group_name_Hall '-R 3 2"'
loop_
_atom_site_label
_atom_site_type_symbol
_atom_site_fract_x
_atom_site_fract_y
_atom_site_fract_z
Sm1 Sm 0.0000 0.0000 0.0000
Dy1 Dy 0.0000 0.0000 0.1425
Cu1 Cu 0.0000 0.0000 0.3322
Cu2 Cu 0.0000 0.0000 0.5000
Cu3 Cu 0.0008 0.5004 0.0823
# * V: 580.6 Å³/cell
# * energy relative to the elements: -0.19 eV/atom
# * E_tot: -4.426 eV per atom

***

No. 8
# Ti4Pt3Rh2, relaxed, DFT GGA-PBE
data_Ti4Pt3Rh2
_chemical_formula_sum 'Ti8 Pt6 Rh4'
_cell_length_a 8.574
_cell_length_b 3.953
_cell_length_c 8.366
_cell_angle_alpha 90.00
_cell_angle_beta 102.60
_cell_angle_gamma 90.00
_symmetry_space_group_name_H-M 'C 1 2/m 1'
_symmetry_Int_Tables_number 12
loop_
_symmetry_equiv_pos_as_xyz
'x,y,z'
'-x,-y,-z'
'-x,y,-z'
'x,-y,z'
'x+1/2,y+1/2,z'
'-x+1/2,-y+1/2,-z'
'-x+1/2,y+1/2,-z'
'x+1/2,-y+1/2,z'
loop_
_atom_site_label
_atom_site_type_symbol
_atom_site_fract_x
_atom_site_fract_y
_atom_site_fract_z
Ti1 Ti 0.025 0.000 0.338
Ti2 Ti 0.167 0.500 0.887
Pt1 Pt 0.000 0.000 0.000
Pt2 Pt 0.161 0.500 0.568
Rh1 Rh 0.170 0.500 0.214
# * V: 276.7 Å³/cell
# * energy relative to the elements: -0.84 eV/atom
# * E_tot: -7.999 eV per atom

***

No. 9
# NdSmHo3Er, relaxed, DFT GGA-PBE
data_NdSmHo3Er
_chemical_formula_sum 'Nd4 Sm4 Ho12 Er4'
_cell_length_a 5.884
_cell_length_b 11.157
_cell_length_c 11.781
_cell_angle_alpha 90.00
_cell_angle_beta 90.00
_cell_angle_gamma 90.00
_symmetry_space_group_name_H-M 'C m c m'
_symmetry_Int_Tables_number 63
_symmetry_space_group_name_Hall '-C 2c 2'
loop_
_atom_site_label
_atom_site_type_symbol
_atom_site_fract_x
_atom_site_fract_y
_atom_site_fract_z
Nd1 Nd 0.000 0.000 0.000
Sm1 Sm 0.000 0.499 0.250
Ho1 Ho 0.000 0.173 0.250
Ho2 Ho 0.000 0.328 0.501
Er1 Er 0.000 0.171 0.750
# * V: 773.4 Å³/cell
# * energy relative to the elements: 0.12 eV/atom
# * E_tot: -4.512 eV per atom

***

No. 10
# BaGaAgSn2, relaxed, DFT GGA-PBE
data_BaGaAgSn2
_chemical_formula_sum 'Ba2 Ga2 Ag2 Sn4'
_cell_length_a 4.937
_cell_length_b 4.937
_cell_length_c 11.487
_cell_angle_alpha 90.00
_cell_angle_beta 90.00
_cell_angle_gamma 90.00
_symmetry_space_group_name_H-M 'I -4 m 2'
_symmetry_Int_Tables_number 119
_symmetry_space_group_name_Hall 'I -4 -2'
loop_
_atom_site_label
_atom_site_type_symbol
_atom_site_fract_x
_atom_site_fract_y
_atom_site_fract_z
Ba1 Ba 0.000 0.000 0.000
Ga1 Ga 0.000 0.500 0.750
Ag1 Ag 0.000 0.500 0.250
Sn1 Sn 0.000 0.000 0.373
# * V: 280.0 Å³/cell
# * energy relative to the elements: -0.38 eV/atom
# * E_tot: -3.546 eV per atom

***

No. 11
# TeOs4, relaxed, DFT GGA-PBE
data_TeOs4
_chemical_formula_sum 'Te1 Os4'
_cell_length_a 4.718
_cell_length_b 4.718
_cell_length_c 4.718
_cell_angle_alpha 90.00
_cell_angle_beta 90.00
_cell_angle_gamma 90.00
_symmetry_space_group_name_H-M 'P m -3 m'
_symmetry_Int_Tables_number 221
_symmetry_space_group_name_Hall '-P 4 2 3'
loop_
_atom_site_label
_atom_site_type_symbol
_atom_site_fract_x
_atom_site_fract_y
_atom_site_fract_z
Te1 Te 0.000 0.000 0.000
Os1 Os 0.000 0.000 0.500
Os2 Os 0.500 0.500 0.500
# * V: 105.1 Å³/cell
# * distance to the lowest polymorph of the same formula: 1044.3 meV/atom
# * ΔE_f (raw): 3.07 eV/atom
# * E_tot: -6.540 eV per atom

***

No. 12
# Dy6YTe8, relaxed, DFT GGA-PBE
data_Dy6YTe8
_chemical_formula_sum 'Dy24 Y4 Te32'
_cell_length_a 12.271
_cell_length_b 12.271
_cell_length_c 12.271
_cell_angle_alpha 90.00
_cell_angle_beta 90.00
_cell_angle_gamma 90.00
_symmetry_space_group_name_H-M 'F m -3 m'
_symmetry_Int_Tables_number 225
_symmetry_space_group_name_Hall '-F 4 2 3'
loop_
_atom_site_label
_atom_site_type_symbol
_atom_site_fract_x
_atom_site_fract_y
_atom_site_fract_z
Dy1 Dy 0.000 0.250 0.250
Y1 Y 0.000 0.000 0.000
Te1 Te 0.000 0.000 0.256
Te2 Te 0.250 0.250 0.250
# * V: 1847.7 Å³/cell
# * distance to the lowest polymorph of the same formula: 0.0 meV/atom
# * ΔE_f (raw): -1.37 eV/atom
# * E_tot: -5.314 eV per atom

***

No. 13
# ScGa2Co2, relaxed, DFT GGA-PBE
data_ScGa2Co2
_chemical_formula_sum 'Sc4 Ga8 Co8'
_cell_length_a 3.912
_cell_length_b 3.912
_cell_length_c 19.890
_cell_angle_alpha 90.00
_cell_angle_beta 90.00
_cell_angle_gamma 90.00
_symmetry_space_group_name_H-M 'I 4/m m m'
_symmetry_Int_Tables_number 139
_symmetry_space_group_name_Hall '-I 4 2'
loop_
_atom_site_label
_atom_site_type_symbol
_atom_site_fract_x
_atom_site_fract_y
_atom_site_fract_z
Sc1 Sc 0.000 0.000 0.136
Ga1 Ga 0.000 0.000 0.316
Ga2 Ga 0.000 0.500 0.000
Co1 Co 0.000 0.000 0.433
Co2 Co 0.000 0.500 0.250
# * V: 304.4 Å³/cell
# * distance to the lowest polymorph of the same formula: 0.0 meV/atom
# * energy relative to the elements: -0.35 eV/atom
# * E_tot: -5.671 eV per atom

***

No. 14
# ScTaTe2, relaxed, DFT GGA-PBE
data_ScTaTe2
_chemical_formula_sum 'Sc2 Ta2 Te4'
_cell_length_a 3.906
_cell_length_b 5.233
_cell_length_c 10.323
_cell_angle_alpha 90.00
_cell_angle_beta 90.00
_cell_angle_gamma 90.00
_symmetry_space_group_name_H-M 'C m m 2'
_symmetry_Int_Tables_number 35
loop_
_symmetry_equiv_pos_as_xyz
'x,y,z'
'-x,-y,z'
'-x,y,z'
'x,-y,z'
'x+1/2,y+1/2,z'
'-x+1/2,-y+1/2,z'
'-x+1/2,y+1/2,z'
'x+1/2,-y+1/2,z'
loop_
_atom_site_label
_atom_site_type_symbol
_atom_site_fract_x
_atom_site_fract_y
_atom_site_fract_z
Sc1 Sc 0.000 0.000 0.000
Ta1 Ta 0.000 0.500 0.217
Te1 Te 0.000 0.000 0.407
Te2 Te 0.000 0.500 0.796
# * V: 211.0 Å³/cell
# * distance to the lowest polymorph of the same formula: 313.6 meV/atom
# * ΔE_f (raw): -0.23 eV/atom
# * E_tot: -6.343 eV per atom

***

No. 15
# NdEr4Pd2, relaxed, DFT GGA-PBE
data_NdEr4Pd2
_chemical_formula_sum 'Nd3 Er12 Pd6'
_cell_length_a 3.9395
_cell_length_b 3.9395
_cell_length_c 44.9453
_cell_angle_alpha 90.00
_cell_angle_beta 90.00
_cell_angle_gamma 120.00
_symmetry_space_group_name_H-M 'R -3 m'
_symmetry_Int_Tables_number 166
_symmetry_space_group_name_Hall '-R 3 2"'
loop_
_atom_site_label
_atom_site_type_symbol
_atom_site_fract_x
_atom_site_fract_y
_atom_site_fract_z
Nd1 Nd 0.0000 0.0000 0.0000
Er1 Er 0.0000 0.0000 0.1976
Er2 Er 0.0000 0.0000 0.3968
Pd1 Pd 0.0000 0.0000 0.0995
# * V: 604.1 Å³/cell
# * energy relative to the elements: -0.39 eV/atom
# * E_tot: -5.158 eV per atom

***

No. 16
# Ac3BeZn2Pt6, relaxed, DFT GGA-PBE
data_Ac3BeZn2Pt6
_chemical_formula_sum 'Ac3 Be1 Zn2 Pt6'
_cell_length_a 5.9686
_cell_length_b 5.9686
_cell_length_c 8.5642
_cell_angle_alpha 90.00
_cell_angle_beta 90.00
_cell_angle_gamma 120.00
_symmetry_space_group_name_H-M 'P -3 m 1'
_symmetry_Int_Tables_number 164
_symmetry_space_group_name_Hall '-P 3 2"'
loop_
_atom_site_label
_atom_site_type_symbol
_atom_site_fract_x
_atom_site_fract_y
_atom_site_fract_z
Ac1 Ac 0.0000 0.0000 0.0000
Ac2 Ac 0.3333 0.6667 0.6479
Be1 Be 0.0000 0.0000 0.5000
Zn1 Zn 0.3333 0.6667 0.0723
Pt1 Pt 0.1686 0.3372 0.3122
# * V: 264.2 Å³/cell
# * energy relative to the elements: -0.80 eV/atom
# * E_tot: -5.371 eV per atom

***

No. 17
# RbLa2Ta, relaxed, DFT GGA-PBE
data_RbLa2Ta
_chemical_formula_sum 'Rb4 La8 Ta4'
_cell_length_a 8.054
_cell_length_b 8.054
_cell_length_c 8.054
_cell_angle_alpha 90.00
_cell_angle_beta 90.00
_cell_angle_gamma 90.00
_symmetry_space_group_name_H-M 'F m -3 m'
_symmetry_Int_Tables_number 225
_symmetry_space_group_name_Hall '-F 4 2 3'
loop_
_atom_site_label
_atom_site_type_symbol
_atom_site_fract_x
_atom_site_fract_y
_atom_site_fract_z
Rb1 Rb 0.000 0.000 0.000
La1 La 0.250 0.250 0.250
Ta1 Ta 0.000 0.000 0.500
# * V: 522.4 Å³/cell
# * distance to the lowest polymorph of the same formula: 0.0 meV/atom
# * energy relative to the elements: 0.99 eV/atom
# * E_tot: -4.682 eV per atom

***

No. 18
# CeZn5Ga2, relaxed, DFT GGA-PBE
data_CeZn5Ga2
_chemical_formula_sum 'Ce2 Zn10 Ga4'
_cell_length_a 4.062
_cell_length_b 7.181
_cell_length_c 9.815
_cell_angle_alpha 90.00
_cell_angle_beta 90.00
_cell_angle_gamma 90.00
_symmetry_space_group_name_H-M 'I m m m'
_symmetry_Int_Tables_number 71
_symmetry_space_group_name_Hall '-I 2 2'
loop_
_atom_site_label
_atom_site_type_symbol
_atom_site_fract_x
_atom_site_fract_y
_atom_site_fract_z
Ce1 Ce 0.000 0.000 0.000
Zn1 Zn 0.000 0.183 0.364
Zn2 Zn 0.000 0.500 0.000
Ga1 Ga 0.000 0.500 0.257
# * V: 286.3 Å³/cell
# * energy relative to the elements: -0.24 eV/atom
# * E_tot: -2.530 eV per atom

***

No. 19
# Tb2SmAl2Zn2, relaxed, DFT GGA-PBE
data_Tb2SmAl2Zn2
_chemical_formula_sum 'Tb6 Sm3 Al6 Zn6'
_cell_length_a 4.5316
_cell_length_b 4.5316
_cell_length_c 27.5592
_cell_angle_alpha 90.00
_cell_angle_beta 90.00
_cell_angle_gamma 120.00
_symmetry_space_group_name_H-M 'R -3 m'
_symmetry_Int_Tables_number 166
_symmetry_space_group_name_Hall '-R 3 2"'
loop_
_atom_site_label
_atom_site_type_symbol
_atom_site_fract_x
_atom_site_fract_y
_atom_site_fract_z
Tb1 Tb 0.0000 0.0000 0.1282
Sm1 Sm 0.0000 0.0000 0.0000
Al1 Al 0.0000 0.0000 0.2621
Zn1 Zn 0.0000 0.0000 0.4016
# * V: 490.1 Å³/cell
# * energy relative to the elements: -0.31 eV/atom
# * E_tot: -3.744 eV per atom

***

No. 20
# TlAgPd2W, relaxed, DFT GGA-PBE
data_TlAgPd2W
_chemical_formula_sum 'Tl1 Ag1 Pd2 W1'
_cell_length_a 4.990
_cell_length_b 4.990
_cell_length_c 5.049
_cell_angle_alpha 90.00
_cell_angle_beta 90.00
_cell_angle_gamma 90.00
_symmetry_space_group_name_H-M 'P 4/m m m'
_symmetry_Int_Tables_number 123
_symmetry_space_group_name_Hall '-P 4 2'
loop_
_atom_site_label
_atom_site_type_symbol
_atom_site_fract_x
_atom_site_fract_y
_atom_site_fract_z
Tl1 Tl 0.000 0.000 0.000
Ag1 Ag 0.000 0.000 0.500
Pd1 Pd 0.000 0.500 0.000
W1 W 0.500 0.500 0.500
# * V: 125.7 Å³/cell
# * energy relative to the elements: 1.74 eV/atom
# * E_tot: -3.971 eV per atom

***

No. 21
# SrPuCl2, relaxed, DFT GGA-PBE
data_SrPuCl2
_chemical_formula_sum 'Sr3 Pu3 Cl6'
_cell_length_a 3.9278
_cell_length_b 3.9278
_cell_length_c 29.0607
_cell_angle_alpha 90.00
_cell_angle_beta 90.00
_cell_angle_gamma 120.00
_symmetry_space_group_name_H-M 'R -3 m'
_symmetry_Int_Tables_number 166
_symmetry_space_group_name_Hall '-R 3 2"'
loop_
_atom_site_label
_atom_site_type_symbol
_atom_site_fract_x
_atom_site_fract_y
_atom_site_fract_z
Sr1 Sr 0.0000 0.0000 0.0000
Pu1 Pu 0.0000 0.0000 0.5000
Cl1 Cl 0.0000 0.0000 0.1035
# * V: 388.3 Å³/cell
# * ΔE_f (raw): -1.27 eV/atom
# * E_tot: -6.195 eV per atom